First-principles (PBE) data for an optimized crystal structure of HgP2Au, as listed in Alexandria via LeMat-Bulk.

Structure (POSCAR):
```
HgP2Au
1.0
3.159 -4.846 1.474
5.796 0.592 1.303
-5.814 0.889 1.024
P Hg Au
2 1 1
Cartesian
6.963 -3.308 2.160 P
1.991 -0.946 0.618 P
-1.327 -1.979 1.249 Hg
-0.009 0.740 1.163 Au
```

Output
SG: Immm
V in Å³/cell: 76.4
ΔH_f (0 K) in eV/atom: 0.518
Density of states at the Fermi level in states/eV/cell: 1.331

First-principles (PBE) data for an optimized crystal structure of HgP2Au, as listed in Alexandria via LeMat-Bulk.

Structure (POSCAR):
```
HgP2Au
1.0
-1.293 -5.882 -1.874
5.575 2.217 1.468
-1.243 -1.665 1.887
Au Hg P
1 1 2
Cartesian
2.141 -1.832 -0.203 Au
-1.268 -3.774 0.007 Hg
2.166 0.276 1.677 P
0.000 0.000 0.000 P
```

Output
SG: C2/m
V in Å³/cell: 76.3
ΔH_f (0 K) in eV/atom: 0.495
Density of states at the Fermi level in states/eV/cell: 1.882